{"formula": "KVInO4", "functional": "PBE with a Hubbard U", "state": "optimized geometry", "lattice": [[5.882, 0.000, 0.000], [0.000, 5.893, 0.000], [-2.172, 0.000, 6.911]], "species": ["K", "K", "V", "V", "In", "In", "O", "O", "O", "O", "O", "O", "O", "O"], "fractional_positions": [[0.244, 0.250, 0.456], [0.756, 0.750, 0.544], [0.185, 0.750, 0.134], [0.815, 0.250, 0.866], [0.342, 0.250, 0.963], [0.658, 0.750, 0.037], [0.009, 0.250, 0.714], [0.013, 0.750, 0.898], [0.433, 0.527, 0.169], [0.433, 0.973, 0.169], [0.567, 0.027, 0.831], [0.567, 0.473, 0.831], [0.987, 0.250, 0.102], [0.991, 0.750, 0.286]], "e_tot_ev_per_cell": -85.83, "space_group": "P2_1/m (11)"}